Density functional theory data (GGA-PBE) for an optimized crystal structure of ThScInHg.

Cell lengths 5.272, 5.272, 5.272 Å; angles 60.00, 60.00, 60.00 degrees
Fractional coordinates of all 4 atoms:
Sc  0.000  0.000  0.000
In  0.750  0.750  0.750
Th  0.500  0.500  0.500
Hg  0.250  0.250  0.250

As for the space-group type: No. 216. The calculation puts the density of states at the Fermi level at 0.946 states/eV/atom. The value obtained for the formation energy from the elements is -0.283 eV per atom. The value obtained for the total energy is -4.481 eV per atom. Its crystal system is cubic. The value obtained for the calculated volume is 103.6 Å³ per cell.